--- a ---
## TlZnCd2 (PBE)

Data for an optimized crystal structure of TlZnCd2.

abc: 5.582 5.582 5.582
angles: 132.18 132.18 69.94
Sites, in units of the cell vectors:
Zn  0.750  0.250  0.500
Cd  0.250  0.750  0.500
Cd  0.000  0.000  0.000
Tl  0.500  0.500  0.000

Properties
The density of states at the Fermi level comes out at 1.77 states/eV/f.u.

--- b ---
## TlZnCd2 (PBE)

Data for an optimized crystal structure of TlZnCd2.

abc: 3.343 3.343 8.339
angles: 90.00 90.00 93.42
Sites, in units of the cell vectors:
Cd  0.000  0.000  0.543
Cd  0.000  0.000  0.957
Zn  0.500  0.500  0.750
Tl  0.500  0.500  0.250

Properties
The density of states at the Fermi level comes out at 1.24 states/eV/f.u.

Relative energies with respect to the most stable structure, expressed in meV/atom: a 51; b 0.

--- a ---
## TlZn2Cd (PBE)

Data for an optimized crystal structure of TlZn2Cd.

abc: 3.268 3.268 8.045
angles: 90.00 90.00 90.00
Sites, in units of the cell vectors:
Tl  0.500  0.500  0.768
Zn  0.000  0.000  0.052
Zn  0.500  0.500  0.225
Cd  0.000  0.000  0.456

Properties
The density of states at the Fermi level comes out at 1.67 states/eV/f.u.

--- b ---
## TlZn2Cd (PBE)

Data for an optimized crystal structure of TlZn2Cd.

abc: 3.173 4.057 6.795
angles: 90.00 90.00 90.00
Sites, in units of the cell vectors:
Tl  0.500  0.500  0.750
Zn  0.000  0.000  0.462
Zn  0.000  0.000  0.038
Cd  0.500  0.500  0.250

Properties
The density of states at the Fermi level comes out at 1.13 states/eV/f.u.

--- c ---
## TlZn2Cd (PBE)

Data for an optimized crystal structure of TlZn2Cd.

abc: 4.988 4.988 4.988
angles: 60.00 60.00 60.00
Sites, in units of the cell vectors:
Zn  0.750  0.750  0.750
Zn  0.250  0.250  0.250
Tl  0.500  0.500  0.500
Cd  0.000  0.000  0.000

Properties
The density of states at the Fermi level comes out at 1.90 states/eV/f.u.

Relative energies with respect to the most stable structure, expressed in meV/atom: a 0; b 47; c 77.

--- a ---
## TlZn2Cd (PBE)

Data for an optimized crystal structure of TlZn2Cd.

abc: 3.278 3.278 9.579
angles: 80.15 80.15 60.00
Sites, in units of the cell vectors:
Tl  0.500  0.500  0.500
Zn  0.078  0.078  0.767
Zn  0.255  0.255  0.234
Cd  0.667  0.667  0.000

Properties
The density of states at the Fermi level comes out at 1.16 states/eV/f.u.

--- b ---
## TlZn2Cd (PBE)

Data for an optimized crystal structure of TlZn2Cd.

abc: 4.677 4.677 6.428
angles: 80.45 80.45 39.70
Sites, in units of the cell vectors:
Tl  0.256  0.256  0.230
Zn  0.011  0.011  0.934
Zn  0.746  0.746  0.788
Cd  0.488  0.488  0.548

Properties
The density of states at the Fermi level comes out at 1.12 states/eV/f.u.

--- c ---
## TlZn2Cd (PBE)

Data for an optimized crystal structure of TlZn2Cd.

abc: 4.991 4.991 4.991
angles: 60.00 60.00 60.00
Sites, in units of the cell vectors:
Zn  0.000  0.000  0.000
Zn  0.250  0.250  0.250
Tl  0.750  0.750  0.750
Cd  0.500  0.500  0.500

Properties
The density of states at the Fermi level comes out at 0.68 states/eV/f.u.

--- d ---
## TlZn2Cd (PBE)

Data for an optimized crystal structure of TlZn2Cd.

abc: 8.982 8.982 8.982
angles: 21.71 21.71 21.71
Sites, in units of the cell vectors:
Tl  0.750  0.750  0.750
Zn  0.995  0.995  0.995
Zn  0.505  0.505  0.505
Cd  0.250  0.250  0.250

Properties
The density of states at the Fermi level comes out at 1.33 states/eV/f.u.

Relative energies with respect to the most stable structure, expressed in meV/atom: a 53; b 0; c 74; d 38.